Entry 1:
18
Lattice="-4.1130 4.1130 5.6620 4.1130 -4.1130 5.6620 4.1130 4.1130 -5.6620" Properties=species:S:1:pos:R:3 comment="Mg2InAg5Hg | Alexandria via LeMat-Bulk | PBE | optimized geometry" formation_enthalpy_0k_ev_per_atom=0.096 rho_g_cm3=7.83 space_group="I4/mcm, No. 140" pbc="T T T"
Mg 5.0564 0.9433 0.0000
Mg 0.9433 3.1697 0.0000
Mg 3.1697 0.9433 5.6620
Mg -0.9433 3.1697 5.6620
In 0.0000 0.0000 2.8310
In 0.0000 0.0000 8.4931
Ag 0.0000 0.0000 0.0000
Ag 2.4481 1.6650 -1.4584
Ag 2.4481 -1.6650 4.2037
Ag 2.4481 1.6650 1.4584
Ag 2.4481 -1.6650 7.1204
Ag 0.0000 0.0000 5.6620
Ag 1.6650 5.7780 -1.4584
Ag 1.6650 2.4481 4.2037
Ag 1.6650 5.7780 1.4584
Ag 1.6650 2.4481 7.1204
Hg 4.1130 0.0000 2.8310
Hg 0.0000 4.1130 2.8310

Entry 2:
10
Lattice="6.1125 0.0000 0.0000 0.0000 4.7449 0.0000 -1.1438 0.0000 7.7208" Properties=species:S:1:pos:R:3 comment="MgInAg2Hg | Alexandria via LeMat-Bulk | PBE | optimized geometry" formation_enthalpy_0k_ev_per_atom=-0.027 rho_g_cm3=8.24 space_group="P2_1/m, No. 11" pbc="T T T"
Mg 0.0702 1.1862 1.7616
Mg 4.8985 3.5586 5.9591
In 1.8969 3.5586 6.0833
In 3.0719 1.1862 1.6374
Ag 0.2116 3.5586 3.4192
Ag 1.6833 1.1862 4.2214
Ag 3.2855 3.5586 3.4994
Ag 4.7572 1.1862 4.3015
Hg 0.1773 1.1862 6.9233
Hg 4.7914 3.5586 0.7975

Entry 3:
18
Lattice="-3.4729 3.4729 8.7949 3.4729 -3.4729 8.7949 3.4729 3.4729 -8.7949" Properties=species:S:1:pos:R:3 comment="Mg5InAgHg2 | Alexandria via LeMat-Bulk | PBE | optimized geometry" formation_enthalpy_0k_ev_per_atom=-0.029 rho_g_cm3=5.83 space_group="I4/mcm, No. 140" pbc="T T T"
Mg 0.0000 0.0000 0.0000
Mg 5.1345 1.6616 -2.5916
Mg 1.6616 1.8112 -2.5916
Mg 5.1345 1.6616 2.5916
Mg 1.6616 1.8112 2.5916
Mg 0.0000 0.0000 8.7949
Mg 1.8112 1.6616 6.2033
Mg -1.6616 1.8112 6.2033
Mg 1.8112 1.6616 11.3865
Mg -1.6616 1.8112 11.3865
In 3.4729 0.0000 4.3974
In 0.0000 3.4729 4.3974
Ag 0.0000 0.0000 4.3974
Ag 0.0000 0.0000 13.1923
Hg 2.4807 0.9921 0.0000
Hg 2.4807 -0.9921 8.7949
Hg 0.9921 4.4650 0.0000
Hg 0.9921 2.4807 8.7949

Entry 4:
12
Lattice="5.5498 0.0000 0.0000 0.0000 6.0744 0.0000 -0.6543 0.0000 7.2940" Properties=species:S:1:pos:R:3 comment="MgInAg3Hg | Alexandria via LeMat-Bulk | PBE | optimized geometry" formation_enthalpy_0k_ev_per_atom=-0.019 rho_g_cm3=8.96 space_group="P2/m, No. 10" pbc="T T T"
Mg 0.9442 0.0000 1.3599
Mg 3.9512 0.0000 5.9341
In 0.8960 3.0372 1.3501
In 3.9995 3.0372 5.9438
Ag -0.3272 1.4862 3.6470
Ag -0.3272 4.5881 3.6470
Ag 1.0884 1.4637 6.2712
Ag 1.0884 4.6107 6.2712
Ag 3.8071 1.4637 1.0228
Ag 3.8071 4.6107 1.0228
Hg 2.4477 1.4865 3.6470
Hg 2.4477 4.5878 3.6470

Entry 5:
5
Lattice="4.4132 0.0000 0.0000 -2.2066 3.8220 0.0000 0.0000 0.0000 7.4563" Properties=species:S:1:pos:R:3 comment="MgInAgHg2 | Alexandria via LeMat-Bulk | PBE | optimized geometry" formation_enthalpy_0k_ev_per_atom=0.031 rho_g_cm3=8.56 space_group="P3m1, No. 156" pbc="T T T"
Mg 0.0000 0.0000 0.0000
In 2.2066 1.2740 2.9710
Ag 0.0000 2.5480 5.9592
Hg 0.0000 0.0000 4.5388
Hg 0.0000 2.5480 1.4130

Entry 6:
16
Lattice="6.7698 0.0000 0.0000 0.0000 6.7698 0.0000 0.0000 0.0000 6.7698" Properties=species:S:1:pos:R:3 comment="MnInAgHg | Alexandria via LeMat-Bulk | PBE | optimized geometry" formation_enthalpy_0k_ev_per_atom=0.202 rho_g_cm3=10.24 space_group="F-43m, No. 216" pbc="T T T"
Mn 0.0000 0.0000 0.0000
Mn 0.0000 3.3849 3.3849
Mn 3.3849 0.0000 3.3849
Mn 3.3849 3.3849 0.0000
In 1.6924 1.6924 5.0773
In 1.6924 5.0773 1.6924
In 5.0773 1.6924 1.6924
In 5.0773 5.0773 5.0773
Ag 0.0000 0.0000 3.3849
Ag 0.0000 3.3849 0.0000
Ag 3.3849 0.0000 0.0000
Ag 3.3849 3.3849 3.3849
Hg 1.6924 1.6924 1.6924
Hg 1.6924 5.0773 5.0773
Hg 5.0773 1.6924 5.0773
Hg 5.0773 5.0773 1.6924

Entry 7:
8
Lattice="4.6556 0.0000 0.0000 0.0000 4.6556 0.0000 0.0000 0.0000 10.0476" Properties=species:S:1:pos:R:3 comment="NaIn4AgHg2 | Alexandria via LeMat-Bulk | PBE | optimized geometry" formation_enthalpy_0k_ev_per_atom=-0.064 rho_g_cm3=7.56 space_group="P4/mmm, No. 123" pbc="T T T"
Na 0.0000 0.0000 0.0000
In 0.0000 2.3278 3.3132
In 0.0000 2.3278 6.7345
In 2.3278 0.0000 3.3132
In 2.3278 0.0000 6.7345
Ag 0.0000 0.0000 5.0238
Hg 2.3278 2.3278 1.3958
Hg 2.3278 2.3278 8.6518

Entry 8:
10
Lattice="2.3533 -7.5477 0.0000 2.3533 7.5477 0.0000 0.0000 0.0000 7.9682" Properties=species:S:1:pos:R:3 comment="NaIn2AgHg | Alexandria via LeMat-Bulk | PBE | optimized geometry" formation_enthalpy_0k_ev_per_atom=-0.060 rho_g_cm3=6.58 space_group="Cmcm, No. 63" pbc="T T T"
Na 2.3533 5.9552 5.9761
Na 2.3533 -5.9552 1.9920
In 2.3533 2.8007 4.4062
In 2.3533 2.8007 7.5460
In 2.3533 -2.8007 0.4221
In 2.3533 -2.8007 3.5619
Ag 2.3533 4.3334 1.9920
Ag 2.3533 -4.3334 5.9761
Hg 2.3533 0.0000 0.0000
Hg 2.3533 0.0000 3.9841